# Sc3InPd12

Sc3InPd12 after structural relaxation (GGA-PBE, the Alexandria database).

```
Sc3InPd12
1.0
4.020 0.000 0.000
0.000 4.020 0.000
0.000 0.000 16.048
Pd Sc In
12 3 1
direct
0.500 0.000 0.127 Pd
0.500 0.000 0.624 Pd
0.500 0.500 0.000 Pd
0.000 0.500 0.624 Pd
0.500 0.500 0.500 Pd
0.500 0.500 0.748 Pd
0.500 0.000 0.873 Pd
0.000 0.500 0.873 Pd
0.500 0.500 0.252 Pd
0.000 0.500 0.127 Pd
0.000 0.500 0.376 Pd
0.500 0.000 0.376 Pd
0.000 0.000 0.750 Sc
0.000 0.000 0.500 Sc
0.000 0.000 0.250 Sc
0.000 0.000 0.000 In
```

Calculated formation energy   -0.74 eV per atom
M_tot   0.0 μB per formula unit
SG   No. 123


# Sc2In2Pd5

Sc2In2Pd5 after structural relaxation (GGA-PBE, the Alexandria database).

```
Sc2In2Pd5
1.0
-4.177 -5.214 1.179
2.218 -0.212 6.920
-4.065 7.151 -2.297
Pd In Sc
10 4 4
direct
0.541 0.658 0.704 Pd
0.869 0.368 0.099 Pd
0.935 0.079 0.500 Pd
0.663 0.158 0.704 Pd
0.270 0.768 0.901 Pd
0.337 0.454 0.296 Pd
0.065 0.579 0.500 Pd
0.459 0.954 0.296 Pd
0.131 0.268 0.901 Pd
0.730 0.868 0.099 Pd
0.000 0.001 0.000 In
0.282 0.259 0.500 In
0.718 0.759 0.500 In
0.500 0.501 0.000 In
0.340 0.994 0.740 Sc
0.901 0.494 0.740 Sc
0.660 0.254 0.260 Sc
0.099 0.754 0.260 Sc
```

Calculated formation energy   -0.58 eV per atom
M_tot   0.0 μB per formula unit
SG   No. 46


# ScIn3Pd12

ScIn3Pd12 after structural relaxation (GGA-PBE, the Alexandria database).

```
ScIn3Pd12
1.0
4.025 0.000 0.000
0.000 4.025 0.000
0.000 0.000 16.179
Pd In Sc
12 3 1
direct
0.500 0.000 0.626 Pd
0.500 0.500 0.500 Pd
0.000 0.500 0.877 Pd
0.000 0.500 0.123 Pd
0.500 0.000 0.123 Pd
0.000 0.500 0.374 Pd
0.000 0.500 0.626 Pd
0.500 0.000 0.374 Pd
0.500 0.000 0.877 Pd
0.500 0.500 0.000 Pd
0.500 0.500 0.248 Pd
0.500 0.500 0.752 Pd
0.000 0.000 0.750 In
0.000 0.000 0.250 In
0.000 0.000 0.500 In
0.000 0.000 0.000 Sc
```

Calculated formation energy   -0.54 eV per atom
M_tot   0.0 μB per formula unit
SG   No. 123


# Sc2InPd4

Sc2InPd4 after structural relaxation (GGA-PBE, the Alexandria database).

```
Sc2InPd4
1.0
-2.316 -0.091 -3.923
-3.376 -3.004 -0.583
-6.667 3.803 1.201
Pd In Sc
4 1 2
direct
0.615 0.615 0.156 Pd
0.128 0.128 0.617 Pd
0.385 0.385 0.844 Pd
0.872 0.872 0.383 Pd
0.000 0.000 0.000 In
0.249 0.249 0.254 Sc
0.751 0.751 0.746 Sc
```

Calculated formation energy   -0.64 eV per atom
M_tot   0.0 μB per formula unit
SG   No. 166
Energy above the most stable polymorph in this dataset   4 meV per atom


# ScIn2Pd9

ScIn2Pd9 after structural relaxation (GGA-PBE, the Alexandria database).

```
ScIn2Pd9
1.0
4.021 0.000 0.000
0.000 4.021 0.000
0.000 0.000 12.137
Pd Sc In
9 1 2
direct
0.500 0.000 0.836 Pd
0.500 0.500 0.331 Pd
0.500 0.000 0.500 Pd
0.500 0.500 0.669 Pd
0.500 0.000 0.164 Pd
0.000 0.500 0.500 Pd
0.000 0.500 0.164 Pd
0.000 0.500 0.836 Pd
0.500 0.500 0.000 Pd
0.000 0.000 0.000 Sc
0.000 0.000 0.665 In
0.000 0.000 0.335 In
```

Calculated formation energy   -0.58 eV per atom
M_tot   0.0 μB per formula unit
SG   No. 123


# SmSc2InPd4

SmSc2InPd4 after structural relaxation (GGA-PBE, the Alexandria database).

```
SmSc2InPd4
1.0
4.748 0.000 0.000
2.374 4.112 0.000
2.374 1.371 7.910
Pd Sc In Sm
4 2 1 1
direct
0.875 0.875 0.374 Pd
0.125 0.125 0.626 Pd
0.382 0.382 0.854 Pd
0.618 0.618 0.146 Pd
0.757 0.757 0.730 Sc
0.243 0.243 0.270 Sc
0.500 0.500 0.500 In
0.000 0.000 0.000 Sm
```

Calculated formation energy   -0.78 eV per atom
M_tot   0.0 μB per formula unit
SG   No. 166


# TbSc2InPd4

TbSc2InPd4 after structural relaxation (GGA-PBE, the Alexandria database).

```
TbSc2InPd4
1.0
-3.401 -3.133 1.086
0.911 -3.536 3.038
-3.086 2.274 7.284
In Pd Sc Tb
1 4 2 1
direct
0.500 0.500 0.500 In
0.623 0.623 0.130 Pd
0.377 0.377 0.870 Pd
0.124 0.124 0.628 Pd
0.876 0.876 0.372 Pd
0.755 0.755 0.734 Sc
0.245 0.245 0.266 Sc
0.000 0.000 0.000 Tb
```

Calculated formation energy   -0.82 eV per atom
M_tot   0.0 μB per formula unit
SG   No. 166


# Sc5In2TcPd2

Sc5In2TcPd2 after structural relaxation (GGA-PBE, the Alexandria database).

```
Sc5In2TcPd2
1.0
-2.200 1.972 -1.465
-2.331 -8.097 -7.399
-8.023 -3.899 6.795
In Sc Pd Tc
4 10 4 2
direct
0.000 0.675 0.175 In
0.000 0.825 0.675 In
0.000 0.325 0.825 In
0.000 0.175 0.325 In
0.500 0.688 0.440 Sc
0.500 0.060 0.812 Sc
0.500 0.440 0.312 Sc
0.500 0.188 0.060 Sc
0.500 0.560 0.688 Sc
0.500 0.312 0.560 Sc
0.500 0.812 0.940 Sc
0.500 0.940 0.188 Sc
0.500 0.000 0.500 Sc
0.500 0.500 0.000 Sc
0.000 0.366 0.134 Pd
0.000 0.134 0.634 Pd
0.000 0.866 0.366 Pd
0.000 0.634 0.866 Pd
0.000 0.000 0.000 Tc
0.000 0.500 0.500 Tc
```

Calculated formation energy   -0.52 eV per atom
M_tot   0.0 μB per formula unit
SG   No. 127


# ScTlInPd

ScTlInPd after structural relaxation (GGA-PBE, the Alexandria database).

```
ScTlInPd
1.0
4.906 0.000 0.000
2.453 4.249 0.000
2.453 1.416 4.006
Pd Tl Sc In
1 1 1 1
direct
0.500 0.500 0.500 Pd
0.000 0.000 0.000 Tl
0.250 0.250 0.250 Sc
0.750 0.750 0.750 In
```

Calculated formation energy   -0.34 eV per atom
M_tot   0.0 μB per formula unit
SG   No. 216


# TmSc2InPd4

TmSc2InPd4 after structural relaxation (GGA-PBE, the Alexandria database).

```
TmSc2InPd4
1.0
-0.300 -4.669 -0.696
2.742 -2.089 -3.239
6.248 -3.396 4.026
In Sc Pd Tm
1 2 4 1
direct
0.500 0.500 0.500 In
0.755 0.755 0.736 Sc
0.245 0.245 0.264 Sc
0.374 0.374 0.877 Pd
0.626 0.626 0.123 Pd
0.123 0.123 0.631 Pd
0.877 0.877 0.369 Pd
0.000 0.000 0.000 Tm
```

Calculated formation energy   -0.85 eV per atom
M_tot   0.0 μB per formula unit
SG   No. 166


# TmScInPd

TmScInPd after structural relaxation (GGA-PBE, the Alexandria database).

```
TmScInPd
1.0
3.397 0.000 0.000
0.000 3.397 0.000
0.000 0.000 7.551
Pd Tm In Sc
1 1 1 1
direct
0.500 0.500 0.590 Pd
0.000 0.000 0.830 Tm
0.500 0.500 0.122 In
0.000 0.000 0.386 Sc
```

Calculated formation energy   -0.68 eV per atom
M_tot   0.0 μB per formula unit
SG   No. 99
Energy above the most stable polymorph in this dataset   0 meV per atom


# TmScInPd

TmScInPd after structural relaxation (GGA-PBE, the Alexandria database).

```
TmScInPd
1.0
4.985 0.000 0.000
2.493 4.317 0.000
2.493 1.439 4.070
In Sc Pd Tm
1 1 1 1
direct
0.500 0.500 0.500 In
0.750 0.750 0.750 Sc
0.000 0.000 0.000 Pd
0.250 0.250 0.250 Tm
```

Calculated formation energy   -0.60 eV per atom
M_tot   0.0 μB per formula unit
SG   No. 216
Energy above the most stable polymorph in this dataset   78 meV per atom


# YSc2InPd4

YSc2InPd4 after structural relaxation (GGA-PBE, the Alexandria database).

```
YSc2InPd4
1.0
4.746 0.000 0.000
2.373 4.110 0.000
2.373 1.370 7.761
In Sc Pd Y
1 2 4 1
direct
0.500 0.500 0.500 In
0.245 0.245 0.265 Sc
0.755 0.755 0.735 Sc
0.876 0.876 0.373 Pd
0.623 0.623 0.130 Pd
0.377 0.377 0.870 Pd
0.124 0.124 0.627 Pd
0.000 0.000 0.000 Y
```

Calculated formation energy   -0.82 eV per atom
M_tot   0.0 μB per formula unit
SG   No. 166


# ScZnIn2Pd

ScZnIn2Pd after structural relaxation (GGA-PBE, the Alexandria database).

```
ScZnIn2Pd
1.0
4.969 0.000 0.000
0.000 4.732 0.000
0.000 0.000 4.969
Sc Zn In Pd
1 1 2 1
direct
0.500 0.500 0.500 Sc
0.000 0.000 0.000 Zn
0.500 0.000 0.000 In
0.000 0.000 0.500 In
0.000 0.500 0.000 Pd
```

Calculated formation energy   0.16 eV per atom
M_tot   0.0 μB per formula unit
SG   No. 123


# Sc4ZnInPd2

Sc4ZnInPd2 after structural relaxation (GGA-PBE, the Alexandria database).

```
Sc4ZnInPd2
1.0
4.787 0.000 0.000
2.393 4.145 0.000
2.393 1.382 7.831
Sc Pd In Zn
4 2 1 1
direct
0.129 0.129 0.612 Sc
0.620 0.620 0.140 Sc
0.871 0.871 0.388 Sc
0.380 0.380 0.860 Sc
0.252 0.252 0.245 Pd
0.748 0.748 0.755 Pd
0.000 0.000 0.000 In
0.500 0.500 0.500 Zn
```

Calculated formation energy   -0.62 eV per atom
M_tot   0.0 μB per formula unit
SG   No. 166


# ScZn2In2Pd5

ScZn2In2Pd5 after structural relaxation (GGA-PBE, the Alexandria database).

```
ScZn2In2Pd5
1.0
3.878 0.000 0.000
0.000 9.439 0.000
0.000 0.000 9.439
Pd In Zn Sc
10 4 4 2
direct
0.500 0.196 0.085 Pd
0.500 0.304 0.585 Pd
0.500 0.500 0.000 Pd
0.500 0.000 0.500 Pd
0.500 0.804 0.915 Pd
0.500 0.585 0.696 Pd
0.500 0.415 0.304 Pd
0.500 0.915 0.196 Pd
0.500 0.085 0.804 Pd
0.500 0.696 0.415 Pd
0.000 0.828 0.672 In
0.000 0.172 0.328 In
0.000 0.672 0.172 In
0.000 0.328 0.828 In
0.000 0.124 0.624 Zn
0.000 0.624 0.876 Zn
0.000 0.376 0.124 Zn
0.000 0.876 0.376 Zn
0.000 0.500 0.500 Sc
0.000 0.000 0.000 Sc
```

Calculated formation energy   -0.48 eV per atom
M_tot   0.0 μB per formula unit
SG   No. 127


# Sc4Zn2InPd

Sc4Zn2InPd after structural relaxation (GGA-PBE, the Alexandria database).

```
Sc4Zn2InPd
1.0
4.808 0.000 0.000
2.404 4.164 0.000
2.404 1.388 7.828
Sc Pd In Zn
4 1 1 2
direct
0.130 0.130 0.611 Sc
0.619 0.619 0.144 Sc
0.870 0.870 0.389 Sc
0.381 0.381 0.856 Sc
0.500 0.500 0.500 Pd
0.000 0.000 0.000 In
0.747 0.747 0.758 Zn
0.253 0.253 0.242 Zn
```

Calculated formation energy   -0.52 eV per atom
M_tot   0.0 μB per formula unit
SG   No. 166


# ZrSc5In2Pd2

ZrSc5In2Pd2 after structural relaxation (GGA-PBE, the Alexandria database).

```
ZrSc5In2Pd2
1.0
-2.038 1.622 2.153
-8.095 -8.069 -1.585
4.381 -6.114 8.751
Pd In Zr Sc
4 4 2 10
direct
0.000 0.370 0.130 Pd
0.000 0.630 0.870 Pd
0.000 0.870 0.370 Pd
0.000 0.130 0.630 Pd
0.000 0.319 0.819 In
0.000 0.181 0.319 In
0.000 0.819 0.681 In
0.000 0.681 0.181 In
0.000 0.000 0.000 Zr
0.000 0.500 0.500 Zr
0.500 0.708 0.447 Sc
0.500 0.947 0.208 Sc
0.500 0.500 0.000 Sc
0.500 0.000 0.500 Sc
0.500 0.292 0.553 Sc
0.500 0.447 0.292 Sc
0.500 0.208 0.053 Sc
0.500 0.553 0.708 Sc
0.500 0.053 0.792 Sc
0.500 0.792 0.947 Sc
```

Calculated formation energy   -0.34 eV per atom
M_tot   0.0 μB per formula unit
SG   No. 127


# InPd5Se

InPd5Se after structural relaxation (GGA-PBE, the Alexandria database).

```
InPd5Se
1.0
-0.114 2.335 3.354
-2.952 -2.367 1.547
4.922 -4.144 3.052
Pd Se In
5 1 1
direct
0.500 0.000 0.280 Pd
0.000 0.500 0.720 Pd
0.000 0.000 0.000 Pd
0.000 0.500 0.280 Pd
0.500 0.000 0.720 Pd
0.000 0.000 0.500 Se
0.500 0.500 0.000 In
```

M_tot   0.0 μB per formula unit
Formation energy (no corrections)   -367 meV/atom
SG   No. 123


# InPdSe2

InPdSe2 after structural relaxation (GGA-PBE, the Alexandria database).

```
InPdSe2
1.0
2.286 0.000 7.883
-1.143 1.979 7.883
-1.143 -1.979 7.883
Se In Pd
2 1 1
direct
0.899 0.899 0.899 Se
0.101 0.101 0.101 Se
0.500 0.500 0.500 In
0.000 0.000 0.000 Pd
```

M_tot   0.0 μB per formula unit
Formation energy (no corrections)   -125 meV/atom
SG   No. 166


# InPd2Se2

InPd2Se2 after structural relaxation (GGA-PBE, the Alexandria database).

```
InPd2Se2
1.0
-0.044 -3.258 2.693
3.949 0.929 1.188
-0.267 2.559 6.408
In Se Pd
1 2 2
direct
0.000 0.000 0.000 In
0.634 0.634 0.732 Se
0.366 0.366 0.268 Se
0.750 0.250 0.500 Pd
0.250 0.750 0.500 Pd
```

M_tot   0.0 μB per formula unit
Formation energy (no corrections)   -178 meV/atom
SG   No. 139
Energy above the most stable polymorph in this dataset   0 meV per atom


# InPd2Se2

InPd2Se2 after structural relaxation (GGA-PBE, the Alexandria database).

```
InPd2Se2
1.0
5.066 0.000 0.000
0.000 5.066 0.000
2.533 2.533 4.206
Pd In Se
2 1 2
direct
0.676 0.676 0.648 Pd
0.324 0.324 0.352 Pd
0.000 0.000 0.000 In
0.750 0.250 0.500 Se
0.250 0.750 0.500 Se
```

M_tot   0.0 μB per formula unit
Formation energy (no corrections)   -176 meV/atom
SG   No. 139
Energy above the most stable polymorph in this dataset   2 meV per atom


# InPdSe3

InPdSe3 after structural relaxation (GGA-PBE, the Alexandria database).

```
InPdSe3
1.0
-3.376 -2.776 2.447
1.038 -3.890 -2.981
3.552 -1.502 3.197
Pd Se In
1 3 1
direct
0.000 0.000 0.000 Pd
0.000 0.000 0.500 Se
0.500 0.000 0.000 Se
0.000 0.500 0.000 Se
0.500 0.500 0.500 In
```

M_tot   0.0 μB per formula unit
Formation energy (no corrections)   175 meV/atom
SG   No. 221
Energy above the most stable polymorph in this dataset   479 meV per atom